(1)
Density functional theory data (PBE) for a relaxed structure of Cs2CrFeCl6.

M_tot (μB per cell): 0.00
E_form (uncorrected) (eV/atom): -1.282
Calculated total energy (eV per atom): -4.3692

a b c (Å): 7.1671 7.1671 7.1646
angles (deg): 59.99 59.99 90.00
Last column: magnetic moment on the atom in μB.
Positions (direct):
1 Cl 0.7495 0.7495 0.5010  -0.05
2 Cs 0.2500 0.7500 0.5000  0.00
3 Cl 0.2485 0.7515 0.0000  -0.05
4 Cs 0.7500 0.2500 0.5000  0.00
5 Cl 0.2485 0.2485 0.0000  -0.05
6 Fe 0.0000 0.0000 0.0000  -3.49
7 Cl 0.7515 0.2485 0.0000  -0.05
8 Cl 0.7515 0.7515 0.0000  -0.05
9 Cr 0.5000 0.5000 0.0000  3.63
10 Cl 0.2505 0.2505 0.4990  -0.05



(2)
Density functional theory data (PBE) for a relaxed structure of CsCrGa2Cl8.

M_tot (μB per cell): 5.00
E_form (uncorrected) (eV/atom): -1.156
Calculated total energy (eV per atom): -3.7648

a b c (Å): 6.5770 6.5770 10.4210
angles (deg): 71.61 71.61 60.00
Last column: magnetic moment on the atom in μB.
Positions (direct):
1 Cl 0.0357 0.3892 0.8379  0.01
2 Cl 0.6108 0.2628 0.1621  0.01
3 Cl 0.1796 0.1796 0.4611  0.02
4 Cr 0.0000 0.0000 0.0000  4.18
5 Cl 0.9643 0.6108 0.1621  0.01
6 Cl 0.3892 0.7372 0.8379  0.01
7 Cs 0.5000 0.5000 0.5000  0.00
8 Cl 0.8204 0.8204 0.5389  0.02
9 Cl 0.2628 0.9643 0.1621  0.01
10 Ga 0.7440 0.7440 0.7679  0.06
11 Cl 0.7372 0.0357 0.8379  0.01
12 Ga 0.2560 0.2560 0.2321  0.06



(3)
Density functional theory data (PBE) for a relaxed structure of Cs2CrGaCl6.

M_tot (μB per cell): 3.00
E_form (uncorrected) (eV/atom): -1.438
Calculated total energy (eV per atom): -3.9822

a b c (Å): 7.4773 7.4773 7.4760
angles (deg): 59.99 59.99 90.00
Last column: magnetic moment on the atom in μB.
Positions (direct):
1 Cl 0.2743 0.2743 0.0000  -0.02
2 Cl 0.2743 0.7257 0.0000  -0.02
3 Cs 0.7500 0.2500 0.5000  0.00
4 Cl 0.7258 0.7258 0.5483  -0.02
5 Cl 0.7257 0.7257 0.0000  -0.02
6 Cl 0.7257 0.2743 0.0000  -0.02
7 Cl 0.2742 0.2742 0.4517  -0.02
8 Cr 0.5000 0.5000 0.0000  2.89
9 Cs 0.2500 0.7500 0.5000  0.00
10 Ga 0.0000 0.0000 0.0000  -0.04